1.
DyPu2Ru3: relaxed, PBE-GGA.

Cell lengths 3.3720, 3.3720, 10.2656 Å; angles 90.00, 90.00, 90.00 degrees
Last column: nearest neighbours and their distance in Å.
Space group P4/mmm (No. 123)
Asymmetric unit:
Dy1 0.0000 0.0000 0.0000  8 Ru 3.00
Pu1 0.0000 0.0000 0.3343  8 Ru 2.87-2.93
Ru1 0.5000 0.5000 0.1781  4 Pu 2.87, 4 Dy 3.00
Ru2 0.5000 0.5000 0.5000  8 Pu 2.93

***

2.
CdTe3: relaxed, PBE-GGA.

Cell lengths 8.2909, 7.8004, 8.2661 Å; angles 90.00, 90.00, 90.00 degrees
Last column: nearest neighbours and their distance in Å.
Space group Pnma (No. 62)
Asymmetric unit:
Cd1 0.1012 0.2500 0.1306  6 Te 3.07-3.19
Te1 0.1221 0.2500 0.6166  2 Te 2.84
Te2 0.1924 0.5104 0.8466  1 Te 2.84, 2 Cd 3.07-3.10

formation energy from raw total energies = -0.060 eV/atom

***

3.
PrErTe2Se: relaxed, PBE-GGA.

Cell lengths 4.3716, 4.3716, 15.6590 Å; angles 90.00, 90.00, 90.00 degrees
Last column: nearest neighbours and their distance in Å.
Space group P4/nmm (No. 129, origin choice 2)
Asymmetric unit:
Pr1 0.2500 0.2500 0.1329  4 Se 3.02, 4 Te 3.34
Er1 0.2500 0.2500 0.5902  6 Te 3.06-3.10
Te1 0.2500 0.2500 0.3934  5 Er 3.08-3.10
Te2 0.2500 0.2500 0.7857  1 Er 3.06, 4 Pr 3.34
Se1 0.2500 0.7500 0.0000  4 Pr 3.02, 4 Se 3.09

formation energy from raw total energies = -1.398 eV/atom

***

no.,theoretical density (g/cm³),magnetic moment (μB per cell),final energy (eV for the cell shown)
1,13.57,8.5,-62.4
2,6.15,0.0,-42.3
3,7.13,0.0,-52.2